Entry 1:
Entry from Alexandria via LeMat-Bulk: Li6AsPb5 after structural relaxation (PBE).

abc: 4.9328 8.9186 8.9186
angles: 123.60 106.45 106.45
Positions (direct):
Pb 0.5000 0.8086 0.1914
Pb 0.0000 0.6618 0.3382
Pb 0.5000 0.5000 0.5000
Pb 0.0000 0.3382 0.6618
Pb 0.5000 0.1914 0.8086
Li 0.2232 0.3640 0.0766
Li 0.2928 0.7924 0.7924
Li 0.2232 0.0766 0.3640
Li 0.7768 0.9234 0.6360
Li 0.7072 0.2076 0.2076
Li 0.7768 0.6360 0.9234
As 0.0000 0.0000 0.0000

ΔE_f in eV/atom: -0.30
Total magnetization in μB per atom: 0.000
Space-group type: C2/m

Entry 2:
Entry from Alexandria via LeMat-Bulk: In2CuHgTe after structural relaxation (PBE).

abc: 5.2395 5.2395 5.0556
angles: 90.00 90.00 90.00
Positions (direct):
Hg 0.0000 0.0000 0.5000
Te 0.5000 0.5000 0.5000
In 0.0000 0.5000 0.0000
In 0.5000 0.0000 0.0000
Cu 0.0000 0.0000 0.0000

Total magnetization in μB per atom: 0.000
Space-group type: P4/mmm
Energy relative to the elements, uncorrected in eV/atom: 0.05

Entry 3:
Entry from Alexandria via LeMat-Bulk: CdTc2Se after structural relaxation (PBE).

abc: 2.9784 2.9784 8.7149
angles: 90.00 90.00 118.46
Positions (direct):
Tc 0.0000 0.0000 0.9701
Tc 0.0000 0.0000 0.5299
Se 0.5000 0.5000 0.7500
Cd 0.5000 0.5000 0.2500

Total magnetization in μB per atom: 0.000
Space-group type: Cmmm
Energy relative to the elements, uncorrected in eV/atom: 0.58
E above lowest polymorph in kJ/mol of atoms: 46.64

Entry 4:
Entry from Alexandria via LeMat-Bulk: TcSe2I after structural relaxation (PBE).

abc: 3.5418 3.2301 10.2652
angles: 90.02 90.02 62.48
Positions (direct):
Se 0.9585 0.5519 0.0347
Se 0.9587 0.5522 0.3390
Tc 0.6076 0.2292 0.1869
I 0.3335 0.8719 0.6866

Total magnetization in μB per atom: 0.000
Space-group type: Pm
Energy relative to the elements, uncorrected in eV/atom: -0.20
E above lowest polymorph in kJ/mol of atoms: 0.90

Entry 5:
Entry from Alexandria via LeMat-Bulk: Zr11Ga9Co4 after structural relaxation (PBE).

abc: 3.2887 11.8975 11.8975
angles: 113.11 90.00 90.00
Positions (direct):
Co 0.5000 0.7595 0.5537
Co 0.5000 0.5537 0.7595
Co 0.5000 0.4463 0.2405
Co 0.5000 0.2405 0.4463
Zr 0.0000 0.0000 0.0000
Zr 0.0000 0.3765 0.6235
Zr 0.0000 0.9350 0.5903
Zr 0.0000 0.8405 0.1595
Zr 0.0000 0.4097 0.0650
Zr 0.0000 0.6871 0.6871
Zr 0.0000 0.1595 0.8405
Zr 0.0000 0.6235 0.3765
Zr 0.0000 0.3129 0.3129
Zr 0.0000 0.5903 0.9350
Zr 0.0000 0.0650 0.4097
Ga 0.5000 0.1626 0.6302
Ga 0.5000 0.3698 0.8374
Ga 0.5000 0.8374 0.3698
Ga 0.5000 0.7821 0.9237
Ga 0.5000 0.9237 0.7821
Ga 0.5000 0.0763 0.2179
Ga 0.5000 0.5000 0.5000
Ga 0.5000 0.6302 0.1626
Ga 0.5000 0.2179 0.0763

ΔE_f in eV/atom: -0.53
Total magnetization in μB per atom: 0.000
Space-group type: Cmmm

Entry 6:
Entry from Alexandria via LeMat-Bulk: RePtO2 after structural relaxation (PBE).

abc: 3.9200 3.9200 7.0350
angles: 73.82 73.82 90.00
Positions (direct):
Pt 0.0000 0.0000 0.0000
Pt 0.7500 0.2500 0.5000
Re 0.2500 0.7500 0.5000
Re 0.5000 0.5000 0.0000
O 0.8750 0.8138 0.7500
O 0.3750 0.4362 0.7500
O 0.1862 0.6250 0.2500
O 0.5638 0.1250 0.2500

Total magnetization in μB per atom: 0.000
Space-group type: I-42d
Energy relative to the elements, uncorrected in eV/atom: -0.09
E above lowest polymorph in kJ/mol of atoms: 54.96

Q: Number 3 is which compound?
A: CdTc2Se

Q: total magnetization of number 5 (Zr11Ga9Co4)?
A: 0.000 μB per atom

Q: Which value of total magnetization does entry 3 give?
A: 0.000 μB per atom